Crystalline Mg3In2Pb4 at its relaxed geometry, computed with PBE.

a = 11.5756 Å, b = 14.3323 Å, c = 6.2740 Å
α = 90.00°, β = 104.79°, γ = 90.00°
Last column: nearest neighbours and their distance in Å.
Space group C2/c (No. 15)
Asymmetric unit:
Mg 0.0000 0.2052 0.2500 x4  4 Pb 3.10-3.28, 2 Mg 3.37
Mg 0.1294 0.0028 0.1623 x8  4 Pb 3.06-3.33, 4 Mg 3.14-3.37
In 0.0962 0.4186 0.9899 x8  2 In 3.25-3.26, 6 Pb 3.35-3.51, 1 Mg 3.57
Pb 0.1372 0.1878 0.8868 x8  3 Mg 3.06-3.18, 2 Pb 3.18-3.20, 2 In 3.35-3.43
Pb 0.1929 0.3579 0.5217 x8  3 Mg 3.17-3.33, 4 In 3.35-3.51, 2 Pb 3.40-3.52

Properties
volume	27.956	Å³/atom
total magnetic moment	0.00	Bohr magnetons per cell
ΔE_f	0.029	eV/atom